No. 1
DFT (PBE) results for a relaxed structure of Pr4PuZn5.

For the density of states at the Fermi level, the calculation gives 14.18 states/eV/cell. The raw total energy is -4.223 eV per atom.

The structure belongs to space group P4/mmm (No. 123); the cell edges are 3.693, 3.693 and 18.367 Å and the angles 90.00°, 90.00° and 90.00°. Symmetry generates all atoms from Pr at (0.000, 0.000, 0.102), Pr at (0.000, 0.000, 0.305), Pu at (0.000, 0.000, 0.500), Zn at (0.500, 0.500, 0.000), Zn at (0.500, 0.500, 0.203) and Zn at (0.500, 0.500, 0.406).

No. 2
DFT (PBE) results for a relaxed structure of Lu3Cu4Ge4.

For the density of states at the Fermi level, the calculation gives 4.86 states/eV/cell. The raw total energy is -5.004 eV per atom.

The structure belongs to space group Immm (No. 71); the cell edges are 4.141, 6.607 and 13.740 Å and the angles 90.00°, 90.00° and 90.00°. Symmetry generates all atoms from Lu at (0.000, 0.000, 0.000), Lu at (0.000, 0.500, 0.128), Cu at (0.000, 0.309, 0.330), Ge at (0.000, 0.000, 0.217) and Ge at (0.000, 0.193, 0.500).

No. 3
DFT (PBE) results for a relaxed structure of AcBi2Pt.

For the density of states at the Fermi level, the calculation gives 8.47 states/eV/cell. The energy relative to the lowest polymorph listed for this composition comes out at 0 meV/atom. The raw total energy is -5.146 eV per atom.

The structure belongs to space group I4/mmm (No. 139); the cell edges are 4.904, 4.904 and 19.609 Å and the angles 90.00°, 90.00° and 90.00°. Symmetry generates all atoms from Ac at (0.000, 0.000, 0.133), Bi at (0.000, 0.000, 0.327), Bi at (0.000, 0.500, 0.000) and Pt at (0.000, 0.500, 0.250).

No. 4
DFT (PBE) results for a relaxed structure of Ce2Si4Ir3Pt.

For the density of states at the Fermi level, the calculation gives 7.28 states/eV/cell. The raw total energy is -7.665 eV per atom.

The structure belongs to space group P-4m2 (No. 115); the cell edges are 4.141, 4.141 and 10.080 Å and the angles 90.00°, 90.00° and 90.00°. Symmetry generates all atoms from Ce at (0.000, 0.500, 0.242), Si at (0.000, 0.000, 0.000), Si at (0.000, 0.500, 0.636), Si at (0.500, 0.500, 0.000), Ir at (0.000, 0.500, 0.874), Ir at (0.500, 0.500, 0.500) and Pt at (0.000, 0.000, 0.500).

No. 5
DFT (PBE) results for a relaxed structure of Li3MgB.

For the density of states at the Fermi level, the calculation gives 1.23 states/eV/cell. The energy relative to the lowest polymorph listed for this composition comes out at 0 meV/atom. The raw total energy is -2.391 eV per atom.

The structure belongs to space group Pm-3m (No. 221); the cell edges are 4.285, 4.285 and 4.285 Å and the angles 90.00°, 90.00° and 90.00°. Symmetry generates all atoms from Li at (0.000, 0.000, 0.500), Mg at (0.500, 0.500, 0.500) and B at (0.000, 0.000, 0.000).

No. 6
DFT (PBE) results for a relaxed structure of TaBePt4.

For the density of states at the Fermi level, the calculation gives 18.52 states/eV/cell. The raw total energy is -6.595 eV per atom.

The structure belongs to space group F-43m (No. 216); the cell edges are 7.343, 7.343 and 7.343 Å and the angles 90.00°, 90.00° and 90.00°. Symmetry generates all atoms from Ta at (0.000, 0.000, 0.000), Be at (0.250, 0.250, 0.750) and Pt at (0.125, 0.125, 0.375).

No. 7
DFT (PBE) results for a relaxed structure of LaCrCl.

For the density of states at the Fermi level, the calculation gives 6.15 states/eV/cell. The energy relative to the lowest polymorph listed for this composition comes out at 173 meV/atom. The raw total energy is -5.549 eV per atom.

The structure belongs to space group F-43m (No. 216); the cell edges are 6.804, 6.804 and 6.804 Å and the angles 90.00°, 90.00° and 90.00°. Symmetry generates all atoms from La at (0.000, 0.000, 0.000), Cr at (0.000, 0.000, 0.500) and Cl at (0.250, 0.250, 0.250).

No. 8
DFT (PBE) results for a relaxed structure of TiV4Re.

For the density of states at the Fermi level, the calculation gives 8.35 states/eV/cell. The energy relative to the lowest polymorph listed for this composition comes out at 0 meV/atom. The raw total energy is -9.606 eV per atom.

The structure belongs to space group F-43m (No. 216); the cell edges are 6.980, 6.980 and 6.980 Å and the angles 90.00°, 90.00° and 90.00°. Symmetry generates all atoms from Ti at (0.000, 0.000, 0.000), V at (0.125, 0.125, 0.375) and Re at (0.250, 0.250, 0.750).

No. 9
DFT (PBE) results for a relaxed structure of GaFe2Re2.

For the density of states at the Fermi level, the calculation gives 11.53 states/eV/cell. The raw total energy is -8.721 eV per atom.

The structure belongs to space group P4/mbm (No. 127); the cell edges are 7.142, 7.142 and 2.679 Å and the angles 90.00°, 90.00° and 90.00°. Symmetry generates all atoms from Ga at (0.000, 0.000, 0.000), Fe at (0.125, 0.375, 0.000) and Re at (0.166, 0.666, 0.500).

No. 10
DFT (PBE) results for a relaxed structure of Sc2ReAu.

For the density of states at the Fermi level, the calculation gives 6.03 states/eV/cell. The raw total energy is -7.447 eV per atom.

The structure belongs to space group Cmmm (No. 65); the cell edges are 6.553, 6.566 and 3.368 Å and the angles 90.00°, 90.00° and 90.00°. Symmetry generates all atoms from Sc at (0.250, 0.250, 0.000), Re at (0.000, 0.000, 0.500) and Au at (0.000, 0.500, 0.500).

No. 11
DFT (PBE) results for a relaxed structure of ScSiH2Pb.

For the density of states at the Fermi level, the calculation gives 3.24 states/eV/cell. The raw total energy is -3.939 eV per atom.

The structure belongs to space group P4/mmm (No. 123); the cell edges are 3.914, 3.914 and 6.318 Å and the angles 90.00°, 90.00° and 90.00°. Symmetry generates all atoms from Sc at (0.000, 0.000, 0.000), Si at (0.500, 0.500, 0.000), H at (0.000, 0.500, 0.500) and Pb at (0.000, 0.000, 0.500).

No. 12
DFT (PBE) results for a relaxed structure of BeGaSe2.

For the density of states at the Fermi level, the calculation gives 9.58 states/eV/cell. The energy relative to the lowest polymorph listed for this composition comes out at 0 meV/atom. The raw total energy is -3.873 eV per atom.

The structure belongs to space group I-42d (No. 122); the cell edges are 5.770, 5.770 and 10.796 Å and the angles 90.00°, 90.00° and 90.00°. Symmetry generates all atoms from Be at (0.000, 0.000, 0.000), Ga at (0.000, 0.000, 0.500) and Se at (0.189, 0.250, 0.125).

No. 13
DFT (PBE) results for a relaxed structure of Fe2AgMo.

For the density of states at the Fermi level, the calculation gives 15.29 states/eV/cell. The energy relative to the lowest polymorph listed for this composition comes out at 278 meV/atom. The raw total energy is -7.094 eV per atom.

The structure belongs to space group F-43m (No. 216); the cell edges are 6.134, 6.134 and 6.134 Å and the angles 90.00°, 90.00° and 90.00°. Symmetry generates all atoms from Fe at (0.000, 0.000, 0.000), Fe at (0.250, 0.250, 0.250), Ag at (0.250, 0.250, 0.750) and Mo at (0.000, 0.000, 0.500).

No. 14
DFT (PBE) results for a relaxed structure of SrPmBiO2.

For the density of states at the Fermi level, the calculation gives 2.48 states/eV/cell. The raw total energy is -6.284 eV per atom.

The structure belongs to space group I4mm (No. 107); the cell edges are 4.046, 4.046 and 15.750 Å and the angles 90.00°, 90.00° and 90.00°. Symmetry generates all atoms from Sr at (0.000, 0.000, 0.000), Pm at (0.000, 0.000, 0.356), Bi at (0.000, 0.000, 0.681) and O at (0.000, 0.500, 0.419).

No. 15
DFT (PBE) results for a relaxed structure of AcCe6Os3.

For the density of states at the Fermi level, the calculation gives 97.85 states/eV/cell. The raw total energy is -7.437 eV per atom.

The structure belongs to space group Cmc2_1 (No. 36); the cell edges are 11.189, 13.025 and 7.329 Å and the angles 90.00°, 90.00° and 90.00°. Symmetry generates all atoms from Ac at (0.000, 0.184, 0.000), Ce at (0.000, 0.276, 0.507), Ce at (0.000, 0.475, 0.176), Ce at (0.168, 0.047, 0.652), Ce at (0.237, 0.319, 0.802), Os at (0.000, 0.083, 0.362) and Os at (0.195, 0.398, 0.459).

No. 16
DFT (PBE) results for a relaxed structure of TlFeTc2.

For the density of states at the Fermi level, the calculation gives 11.78 states/eV/cell. The energy relative to the lowest polymorph listed for this composition comes out at 208 meV/atom. The raw total energy is -7.263 eV per atom.

The structure belongs to space group Fm-3m (No. 225); the cell edges are 6.317, 6.317 and 6.317 Å and the angles 90.00°, 90.00° and 90.00°. Symmetry generates all atoms from Tl at (0.000, 0.000, 0.000), Fe at (0.000, 0.000, 0.500) and Tc at (0.250, 0.250, 0.250).

No. 17
DFT (PBE) results for a relaxed structure of LiPu2ThTe5.

For the density of states at the Fermi level, the calculation gives 104.38 states/eV/cell. The raw total energy is -6.986 eV per atom.

The structure belongs to space group Cmc2_1 (No. 36); the cell edges are 4.408, 18.668 and 13.303 Å and the angles 90.00°, 90.00° and 90.00°. Symmetry generates all atoms from Li at (0.000, 0.055, 0.000), Pu at (0.000, 0.387, 0.260), Pu at (0.000, 0.396, 0.916), Th at (0.000, 0.314, 0.593), Te at (0.000, 0.002, 0.322), Te at (0.000, 0.146, 0.586), Te at (0.000, 0.191, 0.922), Te at (0.000, 0.195, 0.259) and Te at (0.000, 0.478, 0.595).

No. 18
DFT (PBE) results for a relaxed structure of NbCu2S.

For the density of states at the Fermi level, the calculation gives 13.79 states/eV/cell. The raw total energy is -5.562 eV per atom.

The structure belongs to space group I-42d (No. 122); the cell edges are 7.038, 7.038 and 4.816 Å and the angles 90.00°, 90.00° and 90.00°. Symmetry generates all atoms from Nb at (0.000, 0.000, 0.000), Cu at (0.209, 0.750, 0.625) and S at (0.000, 0.000, 0.500).

No. 19
DFT (PBE) results for a relaxed structure of Ho5Sb2N.

For the density of states at the Fermi level, the calculation gives 25.68 states/eV/cell. The raw total energy is -5.459 eV per atom.

The structure belongs to space group Cmcm (No. 63); the cell edges are 4.563, 15.855 and 13.460 Å and the angles 90.00°, 90.00° and 90.00°. Symmetry generates all atoms from Ho at (0.000, 0.100, 0.118), Ho at (0.000, 0.264, 0.750), Ho at (0.000, 0.303, 0.062), Sb at (0.000, 0.091, 0.623) and N at (0.000, 0.187, 0.250).

No. 20
DFT (PBE) results for a relaxed structure of TlInPt2.

For the density of states at the Fermi level, the calculation gives 12.13 states/eV/cell. The raw total energy is -4.226 eV per atom.

The structure belongs to space group F-43m (No. 216); the cell edges are 6.766, 6.766 and 6.766 Å and the angles 90.00°, 90.00° and 90.00°. Symmetry generates all atoms from Tl at (0.000, 0.000, 0.000), In at (0.250, 0.250, 0.750), Pt at (0.000, 0.000, 0.500) and Pt at (0.250, 0.250, 0.250).